DFT (PBE) results for a geometry-optimized Np3Se2N2 structure.

Output
Formation energy without anion corrections   -8.56 eV/f.u.

Cell: 3.8628 6.5555 6.7758 Å, 61.70 73.44 72.86°
Closest atoms and distances in Å follow each position.
Positions (direct):
N 0.8076 0.3178 0.0669  4 Np 2.21-2.30
Se 0.4156 0.8121 0.3568  5 Np 2.86-3.07
Np 0.7940 0.6605 0.7516  3 N 2.25-2.30
Se 0.5844 0.1879 0.6432  5 Np 2.86-3.07
Np 0.0000 0.0000 0.0000  2 N 2.21
Np 0.2060 0.3395 0.2484  3 N 2.25-2.30
N 0.1924 0.6822 0.9331  4 Np 2.21-2.30